Here is a relaxed structure of YHo2In3AgPt2 from OQMD via LeMat-Bulk. Energies are from GGA-PBE.

## Properties
Uncorrected energy   -5.13 eV/atom
Magnetization   0.001 μB/atom

Lattice parameters (Å, degrees): 3.7605 7.8251 7.8251 120.17 90.00 90.00
Element x y z (fractional)
1 Ag 0.0000 0.0004 0.0004
2 Ho 0.0000 0.4093 0.0000
3 Ho 0.0000 0.0000 0.4093
4 In 0.5000 0.7309 0.0004
5 In 0.5000 0.2688 0.2688
6 In 0.5000 0.0004 0.7309
7 Pt 0.5000 0.6671 0.3317
8 Pt 0.5000 0.3317 0.6671
9 Y 0.0000 0.5914 0.5914